Below is K3LiTl3I8 after structural relaxation, with properties calculated at the GGA-PBE level.

Unit cell a=10.0425 b=10.0425 c=23.3854 alpha=90.00 beta=90.00 gamma=120.00
Space group R-3m (No. 166, hexagonal axes)
Symmetry-distinct sites (fractional):
K  0.0000  0.5000  0.0000 (multiplicity 9)
Li  0.0000  0.0000  0.0000 (multiplicity 3)
Tl  0.0000  0.5000  0.5000 (multiplicity 9)
I  0.0000  0.0000  0.2499 (multiplicity 6)
I  0.0435  0.5218  0.7419 (multiplicity 18)


Below is TlBr2O6 after structural relaxation, with properties calculated at the GGA-PBE level.

## Properties
Offset from the most stable computed form (meV/atom): 0.0

Unit cell a=10.2722 b=10.2195 c=7.7159 alpha=90.00 beta=113.48 gamma=90.00
Space group C2/c (No. 15)
Symmetry-distinct sites (fractional):
Tl  0.0000  0.0859  0.2500 (multiplicity 4)
Br  0.1839  0.4119  0.2744 (multiplicity 8)
O  0.1222  0.4298  0.4423 (multiplicity 8)
O  0.1318  0.0583  0.6027 (multiplicity 8)
O  0.1739  0.2514  0.2200 (multiplicity 8)


Below is Au5Cl3 after structural relaxation, with properties calculated at the GGA-PBE level.

Unit cell a=8.6034 b=13.0193 c=3.1352 alpha=90.00 beta=90.00 gamma=90.00
Space group Cmmm (No. 65)
Symmetry-distinct sites (fractional):
Au  0.0000  0.0000  0.0000 (multiplicity 2)
Au  0.2456  0.5000  0.5000 (multiplicity 4)
Au  0.2500  0.2500  0.0000 (multiplicity 4)
Cl  0.0000  0.2510  0.5000 (multiplicity 4)
Cl  0.0000  0.5000  0.0000 (multiplicity 2)


Below is Np2Tl3Te6As after structural relaxation, with properties calculated at the GGA-PBE level.

Unit cell a=7.7206 b=13.3914 c=8.4564 alpha=90.00 beta=107.86 gamma=90.00
Space group C2/m (No. 12)
Symmetry-distinct sites (fractional):
Np  0.0000  0.1653  0.0000 (multiplicity 4)
Tl  0.0000  0.0000  0.5000 (multiplicity 2)
Tl  0.0000  0.3262  0.5000 (multiplicity 4)
Te  0.2267  0.3406  0.2047 (multiplicity 8)
Te  0.2471  0.5000  0.7889 (multiplicity 4)
As  0.0000  0.5000  0.0000 (multiplicity 2)


Formation energy from raw total energies
In order: -0.9621; 0.0337; 0.1990; -0.3888
Unit: eV/atom